An optimized crystal structure of AcHg4Pt2. Source: the Alexandria database, functional GGA-PBE.

Cell lengths 4.4056, 17.8789, 4.2767 Å; angles 90.00, 90.00, 90.00 degrees
Last column: nearest neighbours and their distance in Å.
Fractional coordinates of all 14 atoms:
Ac  0.0000  0.0000  0.0000  8 Pt 3.33
Ac  0.5000  0.5000  0.0000  8 Pt 3.33
Hg  0.0000  0.1752  0.5000  2 Pt 2.87, 4 Hg 3.07
Hg  0.0000  0.3178  0.0000  2 Pt 2.90, 4 Hg 3.07
Hg  0.0000  0.6822  0.0000  2 Pt 2.90, 4 Hg 3.07
Hg  0.0000  0.8248  0.5000  2 Pt 2.87, 4 Hg 3.07
Hg  0.5000  0.1822  0.0000  2 Pt 2.90, 4 Hg 3.07
Hg  0.5000  0.3248  0.5000  2 Pt 2.87, 4 Hg 3.07
Hg  0.5000  0.6752  0.5000  2 Pt 2.87, 4 Hg 3.07
Hg  0.5000  0.8178  0.0000  2 Pt 2.90, 4 Hg 3.07
Pt  0.0000  0.4273  0.5000  1 Pt 2.60, 4 Hg 2.87-2.90
Pt  0.0000  0.5727  0.5000  1 Pt 2.60, 4 Hg 2.87-2.90
Pt  0.5000  0.0727  0.5000  1 Pt 2.60, 4 Hg 2.87-2.90
Pt  0.5000  0.9273  0.5000  1 Pt 2.60, 4 Hg 2.87-2.90

The calculation puts the spin magnetization at 0.00 μB/cell. Its raw total energy is -2.88 eV per atom. The formation energy comes out at -0.40 eV per atom.